Below is an optimized crystal structure of Ho4CuPSe2, with properties calculated at the GGA-PBE level.

abc: 6.9856 3.9692 7.0535
angles: 90.00 108.58 90.00
Space group P2/m (No. 10)
One atom of each set of equivalent atoms:
Ho 0.2399 0.0000 0.2340
Ho 0.2513 0.5000 0.7616
Cu 0.5000 0.0000 0.0000
P 0.0000 0.5000 0.0000
Se 0.0000 0.0000 0.5000
Se 0.5000 0.5000 0.5000

## Properties
For the total magnetization, the calculation gives 0.0 μB per cell. As for the formation energy (no corrections): -1.3263 eV per atom. As for the final energy: -5.67 eV/atom.